1.
Here is a relaxed TaBe2Pt crystal from Alexandria. Energies are from GGA-PBE.

```
data_TaBe2Pt
_cell_length_a 3.6795
_cell_length_b 3.0036
_cell_length_c 8.8970
_cell_angle_alpha 90.00
_cell_angle_beta 90.00
_cell_angle_gamma 90.00
_space_group_name_H-M_alt 'A m m 2'
_space_group_IT_number 38
_space_group_name_Hall 'A 2 -2'
loop_
_atom_site_label
_atom_site_type_symbol
_atom_site_fract_x
_atom_site_fract_y
_atom_site_fract_z
_atom_site_occupancy
Ta1 Ta 0.0000 0.0000 0.0000 1
Be1 Be 0.0000 0.0000 0.7235 1
Be2 Be 0.5000 0.0000 0.5929 1
Pt1 Pt 0.5000 0.0000 0.3023 1
```

---

2.
Here is a relaxed Ta3BePt crystal from Alexandria. Energies are from GGA-PBE.

```
data_Ta3BePt
_cell_length_a 4.3585
_cell_length_b 4.3585
_cell_length_c 4.3585
_cell_angle_alpha 90.00
_cell_angle_beta 90.00
_cell_angle_gamma 90.00
_space_group_name_H-M_alt 'P m -3 m'
_space_group_IT_number 221
_space_group_name_Hall '-P 4 2 3'
loop_
_atom_site_label
_atom_site_type_symbol
_atom_site_fract_x
_atom_site_fract_y
_atom_site_fract_z
_atom_site_occupancy
Ta1 Ta 0.0000 0.0000 0.5000 1
Be1 Be 0.0000 0.0000 0.0000 1
Pt1 Pt 0.5000 0.5000 0.5000 1
```

---

3.
Here is a relaxed TaBe2Pt2 crystal from Alexandria. Energies are from GGA-PBE.

```
data_TaBe2Pt2
_cell_length_a 3.3835
_cell_length_b 3.3835
_cell_length_c 12.3074
_cell_angle_alpha 90.00
_cell_angle_beta 90.00
_cell_angle_gamma 90.00
_space_group_name_H-M_alt 'I 4/m m m'
_space_group_IT_number 139
_space_group_name_Hall '-I 4 2'
loop_
_atom_site_label
_atom_site_type_symbol
_atom_site_fract_x
_atom_site_fract_y
_atom_site_fract_z
_atom_site_occupancy
Ta1 Ta 0.0000 0.0000 0.0000 1
Be1 Be 0.0000 0.5000 0.2500 1
Pt1 Pt 0.0000 0.0000 0.3877 1
```

---

no.,ΔE to the lowest computed polymorph (meV/atom),formation energy (kJ/mol of atoms)
1,29,-35.97
2,0,28.82
3,209,-37.21